## LaCrSnRu2 (PBE-GGA)

Data for a relaxed LaCrSnRu2 crystal.

The structure in POSCAR format:
```
LaCrSnRu2
1.0
-4.5467 -0.6021 0.6109
-0.0903 -3.1307 -3.7579
0.8535 -3.5039 2.8986
Cr Ru Sn La
1 2 1 1
Direct
0.0000 0.0000 0.0000
0.0000 0.0000 0.5000
0.5000 0.0000 0.0000
0.0000 0.5000 0.0000
0.5000 0.5000 0.5000
```

Results
Crystal system = tetragonal
Spin magnetization = 0.00 μB/atom
Energy relative to the elements = 378.5 meV per atom
E above lowest polymorph = 0 meV/atom
SG = P4/mmm
D(E_F) = 5.256 states/eV per cell
Density = 8.1 g/cm3

***

## ZnFeSe2Br (PBE-GGA)

Data for a relaxed ZnFeSe2Br crystal.

The structure in POSCAR format:
```
ZnFeSe2Br
1.0
4.8865 0.0000 0.0000
0.0000 4.8865 0.0000
0.0000 0.0000 5.1657
Zn Se Br Fe
1 2 1 1
Direct
0.0000 0.0000 0.0000
0.0000 0.5000 0.0000
0.5000 0.0000 0.0000
0.0000 0.0000 0.5000
0.5000 0.5000 0.5000
```

Results
Crystal system = tetragonal
Spin magnetization = 0.84 μB/atom
E above lowest polymorph = 367 meV/atom
SG = P4/mmm
Energy relative to the elements, uncorrected = 0.61 eV per atom
D(E_F) = 6.668 states/eV per cell
Density = 4.8 g/cm3